Entry from Alexandria: MnCdO2F after structural relaxation (GGA+U).

Values from the calculation:
For the calculated density, the calculation gives 5.74 Mg/m³. The calculation puts the calculated total energy at -5.5971 eV/atom.

abc: 3.333 6.056 6.266
angles: 91.43 90.00 90.00
Last column: magnetic moment on the atom in μB.
Positions (direct):
O1 0.750 0.889 0.823  -0.04
O2 0.250 0.111 0.177  -0.04
O3 0.750 0.320 0.543  -0.05
O4 0.250 0.680 0.457  -0.05
Cd1 0.250 0.128 0.791  0.01
Cd2 0.750 0.872 0.209  0.01
Mn1 0.250 0.382 0.329  3.94
Mn2 0.750 0.618 0.671  3.94
F1 0.250 0.509 0.844  0.02
F2 0.750 0.491 0.156  0.02